Record 1
A plane-wave DFT calculation with PBE-GGA was carried out for a geometry-optimized FeAsBr2Cl structure.

Unit cell a=4.8930 b=4.8930 c=4.6019 alpha=90.00 beta=90.00 gamma=90.00
Closest atoms and distances in Å follow each position.
Fractional coordinates of all 5 atoms:
As 0.0000 0.0000 0.5000  2 Fe 2.30
Fe 0.0000 0.0000 0.0000  2 As 2.30, 4 Br 2.45
Br 0.0000 0.5000 0.0000  2 Fe 2.45
Br 0.5000 0.0000 0.0000  2 Fe 2.45
Cl 0.5000 0.5000 0.5000  8 Br 3.36, 4 As 3.46

Results
distance to the lowest polymorph of the same formula = 0 meV per atom
raw formation energy = 0.29 eV per atom

***

Record 2
A plane-wave DFT calculation with PBE-GGA was carried out for a geometry-optimized FeAsBr2Cl structure.

Unit cell a=5.1125 b=5.1125 c=5.2819 alpha=90.00 beta=90.00 gamma=90.00
Closest atoms and distances in Å follow each position.
Fractional coordinates of all 5 atoms:
As 0.0000 0.0000 0.5000  2 Cl 2.64
Fe 0.5000 0.5000 0.5000  4 As 3.62, 8 Br 3.68
Br 0.0000 0.5000 0.0000  2 Cl 2.56
Br 0.5000 0.0000 0.0000  2 Cl 2.56
Cl 0.0000 0.0000 0.0000  4 Br 2.56, 2 As 2.64

Results
distance to the lowest polymorph of the same formula = 845 meV per atom
raw formation energy = 1.14 eV per atom

***

Record 3
A plane-wave DFT calculation with PBE-GGA was carried out for a geometry-optimized GaAs2BrCl structure.

Unit cell a=4.7645 b=4.7645 c=7.1160 alpha=90.00 beta=90.00 gamma=90.00
Closest atoms and distances in Å follow each position.
Fractional coordinates of all 5 atoms:
As 0.0000 0.5000 0.0000  2 Cl 2.38
As 0.5000 0.0000 0.0000  2 Cl 2.38
Ga 0.5000 0.5000 0.5000  4 Br 3.37
Br 0.0000 0.0000 0.5000  4 Ga 3.37, 2 Cl 3.56
Cl 0.0000 0.0000 0.0000  4 As 2.38

Results
distance to the lowest polymorph of the same formula = 176 meV per atom
raw formation energy = 0.63 eV per atom

***

Record 4
A plane-wave DFT calculation with PBE-GGA was carried out for a geometry-optimized GaAs2BrCl structure.

Unit cell a=5.0643 b=5.0643 c=5.0916 alpha=90.00 beta=90.00 gamma=90.00
Closest atoms and distances in Å follow each position.
Fractional coordinates of all 5 atoms:
As 0.0000 0.5000 0.0000  2 Ga 2.53
As 0.5000 0.0000 0.0000  2 Ga 2.53
Ga 0.0000 0.0000 0.0000  4 As 2.53, 2 Br 2.55
Br 0.0000 0.0000 0.5000  2 Ga 2.55
Cl 0.5000 0.5000 0.5000  4 Br 3.58, 8 As 3.59

Results
distance to the lowest polymorph of the same formula = 0 meV per atom
raw formation energy = 0.45 eV per atom

***

Record 5
A plane-wave DFT calculation with PBE-GGA was carried out for a geometry-optimized GaAs2BrCl structure.

Unit cell a=4.9302 b=6.4447 c=4.9302 alpha=90.00 beta=90.00 gamma=90.00
Closest atoms and distances in Å follow each position.
Fractional coordinates of all 5 atoms:
As 0.0000 0.0000 0.5000  2 Cl 2.47
As 0.5000 0.0000 0.0000  2 Cl 2.47
Ga 0.0000 0.5000 0.0000  2 Cl 3.22, 4 Br 3.49
Br 0.5000 0.5000 0.5000  4 Ga 3.49
Cl 0.0000 0.0000 0.0000  4 As 2.47

Results
distance to the lowest polymorph of the same formula = 203 meV per atom
raw formation energy = 0.65 eV per atom

***

Record 6
A plane-wave DFT calculation with PBE-GGA was carried out for a geometry-optimized AsHBr2Cl structure.

Unit cell a=5.4851 b=5.4851 c=5.1854 alpha=90.00 beta=90.00 gamma=90.00
Closest atoms and distances in Å follow each position.
Fractional coordinates of all 5 atoms:
H 0.5000 0.5000 0.5000  8 Br 3.77, 4 As 3.88
As 0.0000 0.0000 0.5000  2 Cl 2.59
Br 0.0000 0.5000 0.0000  2 Cl 2.74
Br 0.5000 0.0000 0.0000  2 Cl 2.74
Cl 0.0000 0.0000 0.0000  2 As 2.59, 4 Br 2.74

Results
distance to the lowest polymorph of the same formula = 337 meV per atom

***

Record 7
A plane-wave DFT calculation with PBE-GGA was carried out for a geometry-optimized As2HBrCl structure.

Unit cell a=4.9954 b=4.9954 c=6.3861 alpha=90.00 beta=90.00 gamma=90.00
Closest atoms and distances in Å follow each position.
Fractional coordinates of all 5 atoms:
H 0.5000 0.5000 0.5000  4 Br 3.53
As 0.0000 0.5000 0.0000  2 Cl 2.50
As 0.5000 0.0000 0.0000  2 Cl 2.50
Br 0.0000 0.0000 0.5000  2 Cl 3.19, 4 H 3.53
Cl 0.0000 0.0000 0.0000  4 As 2.50

Results
distance to the lowest polymorph of the same formula = 594 meV per atom

***

Record 8
A plane-wave DFT calculation with PBE-GGA was carried out for a geometry-optimized AsHBr2Cl structure.

Unit cell a=4.3327 b=4.3327 c=5.1846 alpha=90.00 beta=90.00 gamma=90.00
Closest atoms and distances in Å follow each position.
Fractional coordinates of all 5 atoms:
H 0.0000 0.0000 0.0000  4 Br 2.17
As 0.0000 0.0000 0.5000  2 H 2.59
Br 0.0000 0.5000 0.0000  2 H 2.17
Br 0.5000 0.0000 0.0000  2 H 2.17
Cl 0.5000 0.5000 0.5000  4 As 3.06, 8 Br 3.38

Results
distance to the lowest polymorph of the same formula = 0 meV per atom

***

Record 9
A plane-wave DFT calculation with PBE-GGA was carried out for a geometry-optimized As2HBrCl structure.

Unit cell a=4.4041 b=4.4041 c=4.6676 alpha=90.00 beta=90.00 gamma=90.00
Closest atoms and distances in Å follow each position.
Fractional coordinates of all 5 atoms:
H 0.0000 0.0000 0.0000  4 As 2.20, 2 Br 2.33
As 0.0000 0.5000 0.0000  2 H 2.20
As 0.5000 0.0000 0.0000  2 H 2.20
Br 0.0000 0.0000 0.5000  2 H 2.33
Cl 0.5000 0.5000 0.5000  4 Br 3.11, 8 As 3.21

Results
distance to the lowest polymorph of the same formula = 0 meV per atom

***

Record 10
A plane-wave DFT calculation with PBE-GGA was carried out for a geometry-optimized Hg6As2BrCl2 structure.

Unit cell a=9.2214 b=8.2414 c=9.0584 alpha=141.54 beta=106.09 gamma=60.14
Closest atoms and distances in Å follow each position.
Fractional coordinates of all 11 atoms:
Hg 0.3778 0.6779 0.8224  1 Cl 2.41, 1 As 2.53
Hg 0.8742 0.6426 0.2762  1 As 2.77, 1 Hg 2.80, 1 Br 3.02
Hg 0.0648 0.0513 0.7173  1 As 2.78, 1 Hg 2.80
Hg 0.1258 0.3574 0.7238  1 As 2.77, 1 Hg 2.80, 1 Br 3.02
Hg 0.9352 0.9487 0.2827  1 As 2.78, 1 Hg 2.80
Hg 0.6222 0.3221 0.1776  1 Cl 2.41, 1 As 2.53
As 0.0720 0.7666 0.7796  1 As 2.51, 3 Hg 2.53-2.78
As 0.9280 0.2334 0.2204  1 As 2.51, 3 Hg 2.53-2.78
Br 0.5000 0.0000 0.5000  4 Hg 3.02-3.32
Cl 0.6658 0.6041 0.8253  1 Hg 2.41
Cl 0.3342 0.3959 0.1747  1 Hg 2.41

Results
raw formation energy = -0.22 eV per atom

***

Record 11
A plane-wave DFT calculation with PBE-GGA was carried out for a geometry-optimized Hg4AsBr2Cl structure.

Unit cell a=9.2048 b=9.2049 c=8.2136 alpha=116.83 beta=116.83 gamma=101.88
Closest atoms and distances in Å follow each position.
Fractional coordinates of all 16 atoms:
Hg 0.1848 0.7992 0.9918  1 As 2.76, 2 Cl 2.94-2.97, 2 Br 3.03-3.06
Hg 0.7008 0.3152 0.5082  1 As 2.76, 2 Cl 2.94-2.97, 2 Br 3.03-3.06
Hg 0.2992 0.6848 0.4918  1 As 2.76, 2 Cl 2.94-2.97, 2 Br 3.03-3.06
Hg 0.8152 0.2008 0.0082  1 As 2.76, 2 Cl 2.94-2.97, 2 Br 3.03-3.06
Hg 0.7497 0.7528 0.9856  2 As 2.78-2.80, 2 Br 2.95-3.00
Hg 0.7472 0.7503 0.5144  2 As 2.78-2.80, 2 Br 2.95-3.00
Hg 0.2528 0.2497 0.4856  2 As 2.78-2.80, 2 Br 2.95-3.00
Hg 0.2503 0.2472 0.0144  2 As 2.78-2.80, 2 Br 2.95-3.00
As 0.5000 0.5000 0.5000  6 Hg 2.76-2.80
As 0.0000 0.0000 0.0000  6 Hg 2.76-2.80
Br 0.5000 0.0000 0.0000  4 Hg 3.03-3.06
Br 0.5000 0.0000 0.5000  4 Hg 3.03-3.06
Br 0.0000 0.0000 0.5000  4 Hg 2.95-3.00
Br 0.5000 0.5000 0.0000  4 Hg 2.95-3.00
Cl 0.0000 0.5000 0.0000  4 Hg 2.94-2.97
Cl 0.0000 0.5000 0.5000  4 Hg 2.94-2.97

Results
raw formation energy = -0.18 eV per atom

***

Record 12
A plane-wave DFT calculation with PBE-GGA was carried out for a geometry-optimized Hg6As2Br2Cl structure.

Unit cell a=9.4101 b=8.2483 c=9.3707 alpha=142.68 beta=103.93 gamma=60.95
Closest atoms and distances in Å follow each position.
Fractional coordinates of all 11 atoms:
Hg 0.3760 0.6531 0.8234  1 Br 2.54, 1 As 2.54
Hg 0.8726 0.6661 0.2882  1 As 2.77, 1 Hg 2.80, 1 Cl 3.02
Hg 0.0781 0.0194 0.7052  1 As 2.78, 1 Hg 2.80
Hg 0.1274 0.3339 0.7118  1 As 2.77, 1 Hg 2.80, 1 Cl 3.02
Hg 0.9219 0.9806 0.2948  1 As 2.78, 1 Hg 2.80
Hg 0.6240 0.3469 0.1766  1 Br 2.54, 1 As 2.54
As 0.0784 0.7504 0.7764  1 As 2.52, 3 Hg 2.54-2.78
As 0.9216 0.2496 0.2236  1 As 2.52, 3 Hg 2.54-2.78
Br 0.6641 0.6144 0.8722  1 Hg 2.54
Br 0.3359 0.3856 0.1278  1 Hg 2.54
Cl 0.5000 0.0000 0.5000  4 Hg 3.02-3.03

Results
raw formation energy = -0.19 eV per atom

***

Record 13
A plane-wave DFT calculation with PBE-GGA was carried out for a geometry-optimized InAs2BrCl structure.

Unit cell a=5.3828 b=5.3828 c=5.3704 alpha=90.00 beta=90.00 gamma=90.00
Closest atoms and distances in Å follow each position.
Fractional coordinates of all 5 atoms:
As 0.0000 0.5000 0.0000  2 In 2.69
As 0.5000 0.0000 0.0000  2 In 2.69
Cl 0.5000 0.5000 0.5000  8 As 3.80, 4 Br 3.81
Br 0.0000 0.0000 0.5000  2 In 2.69
In 0.0000 0.0000 0.0000  2 Br 2.69, 4 As 2.69

Results
distance to the lowest polymorph of the same formula = 29 meV per atom
raw formation energy = 0.56 eV per atom

***

Record 14
A plane-wave DFT calculation with PBE-GGA was carried out for a geometry-optimized InAsBr2Cl structure.

Unit cell a=5.2838 b=5.2838 c=5.7717 alpha=90.00 beta=90.00 gamma=90.00
Closest atoms and distances in Å follow each position.
Fractional coordinates of all 5 atoms:
As 0.0000 0.0000 0.5000  2 In 2.89
Cl 0.5000 0.5000 0.5000  4 As 3.74, 8 Br 3.91
Br 0.0000 0.5000 0.0000  2 In 2.64
Br 0.5000 0.0000 0.0000  2 In 2.64
In 0.0000 0.0000 0.0000  4 Br 2.64, 2 As 2.89

Results
distance to the lowest polymorph of the same formula = 0 meV per atom
raw formation energy = 0.14 eV per atom

***

Record 15
A plane-wave DFT calculation with PBE-GGA was carried out for a geometry-optimized InAs2BrCl structure.

Unit cell a=4.7939 b=4.7939 c=7.0109 alpha=90.00 beta=90.00 gamma=90.00
Closest atoms and distances in Å follow each position.
Fractional coordinates of all 5 atoms:
As 0.0000 0.5000 0.0000  2 Cl 2.40
As 0.5000 0.0000 0.0000  2 Cl 2.40
Cl 0.0000 0.0000 0.0000  4 As 2.40
Br 0.0000 0.0000 0.5000  4 In 3.39, 2 Cl 3.51
In 0.5000 0.5000 0.5000  4 Br 3.39

Results
distance to the lowest polymorph of the same formula = 0 meV per atom
raw formation energy = 0.53 eV per atom

***

Record 16
A plane-wave DFT calculation with PBE-GGA was carried out for a geometry-optimized InAsBr2Cl structure.

Unit cell a=6.4054 b=6.4054 c=4.5522 alpha=90.00 beta=90.00 gamma=90.00
Closest atoms and distances in Å follow each position.
Fractional coordinates of all 5 atoms:
As 0.0000 0.0000 0.5000  2 Cl 2.28
Cl 0.0000 0.0000 0.0000  2 As 2.28
Br 0.0000 0.5000 0.0000  2 Cl 3.20
Br 0.5000 0.0000 0.0000  2 Cl 3.20
In 0.5000 0.5000 0.5000  8 Br 3.93

Results
distance to the lowest polymorph of the same formula = 129 meV per atom
raw formation energy = 0.27 eV per atom

***

Record 17
A plane-wave DFT calculation with PBE-GGA was carried out for a geometry-optimized AsIrBr2Cl structure.

Unit cell a=4.9963 b=4.9963 c=5.2220 alpha=90.00 beta=90.00 gamma=90.00
Closest atoms and distances in Å follow each position.
Fractional coordinates of all 5 atoms:
As 0.0000 0.0000 0.5000  2 Cl 2.61
Ir 0.5000 0.5000 0.5000  4 As 3.53, 8 Br 3.61
Br 0.0000 0.5000 0.0000  2 Cl 2.50
Br 0.5000 0.0000 0.0000  2 Cl 2.50
Cl 0.0000 0.0000 0.0000  4 Br 2.50, 2 As 2.61

Results
distance to the lowest polymorph of the same formula = 1275 meV per atom
raw formation energy = 1.63 eV per atom

***

Record 18
A plane-wave DFT calculation with PBE-GGA was carried out for a geometry-optimized AsIrBr2Cl structure.

Unit cell a=5.1793 b=5.1793 c=4.7085 alpha=90.00 beta=90.00 gamma=90.00
Closest atoms and distances in Å follow each position.
Fractional coordinates of all 5 atoms:
As 0.0000 0.0000 0.5000  2 Ir 2.35
Ir 0.0000 0.0000 0.0000  2 As 2.35, 4 Br 2.59
Br 0.0000 0.5000 0.0000  2 Ir 2.59
Br 0.5000 0.0000 0.0000  2 Ir 2.59
Cl 0.5000 0.5000 0.5000  8 Br 3.50, 4 As 3.66

Results
distance to the lowest polymorph of the same formula = 0 meV per atom
raw formation energy = 0.36 eV per atom

***

Record 19
A plane-wave DFT calculation with PBE-GGA was carried out for a geometry-optimized KAs2BrCl structure.

Unit cell a=7.0668 b=7.0668 c=5.8970 alpha=90.00 beta=90.00 gamma=90.00
Closest atoms and distances in Å follow each position.
Fractional coordinates of all 5 atoms:
As 0.0000 0.5000 0.0000  2 K 3.53
As 0.5000 0.0000 0.0000  2 K 3.53
K 0.0000 0.0000 0.0000  2 Br 2.95
Br 0.0000 0.0000 0.5000  2 K 2.95
Cl 0.5000 0.5000 0.5000  8 As 4.60, 4 Br 5.00

Results
distance to the lowest polymorph of the same formula = 708 meV per atom
raw formation energy = 0.83 eV per atom

***

Record 20
A plane-wave DFT calculation with PBE-GGA was carried out for a geometry-optimized K2AsBr2Cl4 structure.

Unit cell a=7.2197 b=7.2197 c=7.2197 alpha=90.69 beta=119.60 gamma=119.60
Closest atoms and distances in Å follow each position.
Fractional coordinates of all 9 atoms:
K 0.5000 0.7500 0.2500  8 Cl 3.61, 4 Br 3.63
K 0.5000 0.2500 0.7500  8 Cl 3.61, 4 Br 3.63
As 0.0000 0.0000 0.0000  4 Cl 2.41, 2 Br 2.56
Br 0.0000 0.7477 0.7477  1 As 2.56
Br 0.0000 0.2523 0.2523  1 As 2.56
Cl 0.0000 0.7654 0.2346  1 As 2.41
Cl 0.5309 0.7654 0.7654  1 As 2.41
Cl 0.0000 0.2346 0.7654  1 As 2.41
Cl 0.4691 0.2346 0.2346  1 As 2.41

Results
raw formation energy = -1.11 eV per atom

***

So what do the calculations give for E_tot? Going down the list: -3.367; -2.522; -2.542; -2.718; -2.515; -1.626; -1.949; -1.962; -2.543; -1.723; -1.566; -1.677; -2.553; -2.371; -2.582; -2.243; -2.106; -3.381; -1.958; -3.062 eV per atom.